Entry 1:
{
  "formula": "CuRh3Cl",
  "functional": "PBE",
  "state": "relaxed",
  "crystal_system": "cubic",
  "formation_energy_uncorrected_ev_per_fu": 4.281,
  "dft_energy_ev_per_atom": -4.74,
  "polymorph_energy_mev_per_atom": 0,
  "lattice_angstrom": [[4.372, 0.000, 0.000], [0.000, 4.372, 0.000], [0.000, 0.000, 4.372]],
  "species": ["Rh", "Rh", "Rh", "Cl", "Cu"],
  "frac_coords": [[0.000, 0.000, 0.500], [0.000, 0.500, 0.000], [0.500, 0.000, 0.000], [0.000, 0.000, 0.000], [0.500, 0.500, 0.500]]
}

***

Entry 2:
{
  "formula": "Tb3Nd5Y4",
  "functional": "PBE",
  "state": "relaxed",
  "crystal_system": "monoclinic",
  "dft_energy_ev_per_atom": -5.09,
  "ef_ev_per_atom": 0.2134,
  "lattice_angstrom": [[5.974, 0.000, 0.000], [2.987, 7.704, -2.779], [2.987, -0.852, 9.219]],
  "species": ["Nd", "Nd", "Nd", "Nd", "Nd", "Y", "Y", "Y", "Y", "Tb", "Tb", "Tb"],
  "frac_coords": [[0.211, 0.463, 0.115], [0.623, 0.954, 0.800], [0.789, 0.537, 0.885], [0.377, 0.046, 0.200], [0.500, 0.500, 0.500], [0.143, 0.777, 0.937], [0.857, 0.223, 0.063], [0.163, 0.052, 0.622], [0.837, 0.948, 0.378], [0.521, 0.688, 0.271], [0.000, 0.500, 0.500], [0.479, 0.312, 0.729]]
}

***

Entry 3:
{
  "formula": "CaNb",
  "functional": "PBE",
  "state": "relaxed",
  "crystal_system": "monoclinic",
  "dft_energy_ev_per_atom": -5.54,
  "ef_ev_per_atom": 0.4978,
  "polymorph_energy_mev_per_atom": 222,
  "lattice_angstrom": [[-2.491, -1.738, 0.959], [1.377, -3.450, -2.676], [4.999, -2.081, 5.255]],
  "species": ["Nb", "Nb", "Ca", "Ca"],
  "frac_coords": [[0.396, 0.750, 0.053], [0.604, 0.250, 0.947], [0.166, 0.250, 0.328], [0.834, 0.750, 0.672]]
}

***

Entry 4:
{
  "formula": "Ca4In2H",
  "functional": "PBE",
  "state": "relaxed",
  "crystal_system": "monoclinic",
  "dft_energy_ev_per_atom": -2.78,
  "polymorph_energy_mev_per_atom": 0,
  "lattice_angstrom": [[6.681, 0.000, 0.154], [0.000, 7.074, 0.000], [-2.201, 0.000, 8.258]],
  "species": ["H", "H", "Ca", "Ca", "Ca", "Ca", "Ca", "Ca", "Ca", "Ca", "In", "In", "In", "In"],
  "frac_coords": [[0.664, 0.250, 0.766], [0.336, 0.750, 0.234], [0.927, 0.250, 0.643], [0.562, 0.991, 0.296], [0.562, 0.509, 0.296], [0.438, 0.491, 0.704], [0.438, 0.009, 0.704], [0.073, 0.750, 0.357], [0.175, 0.750, 0.971], [0.825, 0.250, 0.029], [0.697, 0.750, 0.997], [0.303, 0.250, 0.003], [0.176, 0.250, 0.360], [0.824, 0.750, 0.640]]
}

***

Entry 5:
{
  "formula": "La2AsRu",
  "functional": "PBE",
  "state": "relaxed",
  "crystal_system": "orthorhombic",
  "dft_energy_ev_per_atom": -6.73,
  "ef_ev_per_atom": -0.7894,
  "lattice_angstrom": [[-1.721, -3.819, 0.838], [0.885, -1.272, -3.976], [5.339, -2.474, -0.311]],
  "species": ["As", "Ru", "La", "La"],
  "frac_coords": [[0.500, 0.554, 0.766], [0.000, 0.700, 0.476], [0.500, 0.261, 0.353], [0.000, 0.985, 0.905]]
}

***

Entry 6:
{
  "formula": "CaPr12Ho5",
  "functional": "PBE",
  "state": "relaxed",
  "crystal_system": "monoclinic",
  "dft_energy_ev_per_atom": -4.53,
  "ef_ev_per_atom": 0.0350,
  "lattice_angstrom": [[-2.222, -11.127, -10.513], [6.337, -4.867, -7.554], [1.416, -3.591, 3.501]],
  "species": ["Pr", "Pr", "Pr", "Pr", "Pr", "Pr", "Pr", "Pr", "Pr", "Pr", "Pr", "Pr", "Ho", "Ho", "Ho", "Ho", "Ho", "Ca"],
  "frac_coords": [[0.336, 0.660, 0.000], [0.830, 0.000, 0.500], [0.170, 0.000, 0.500], [0.498, 0.332, 0.500], [0.502, 0.668, 0.500], [0.666, 0.000, 0.000], [0.170, 0.332, 0.500], [0.004, 0.660, 0.000], [0.664, 0.340, 0.000], [0.830, 0.668, 0.500], [0.334, 0.000, 0.000], [0.996, 0.340, 0.000], [0.500, 0.000, 0.500], [0.827, 0.346, 0.500], [0.334, 0.332, 0.000], [0.666, 0.669, 0.000], [0.173, 0.654, 0.500], [0.000, 0.000, 0.000]]
}

***

Entry 7:
{
  "formula": "YCd2",
  "functional": "PBE",
  "state": "relaxed",
  "crystal_system": "cubic",
  "dft_energy_ev_per_atom": -3.05,
  "ef_ev_per_atom": -0.2842,
  "lattice_angstrom": [[-4.241, -2.552, 3.240], [0.394, -5.734, 1.400], [1.109, -1.612, 5.582]],
  "species": ["Cd", "Cd", "Cd", "Cd", "Y", "Y"],
  "frac_coords": [[0.500, 0.000, 0.500], [0.500, 0.500, 0.000], [0.000, 0.500, 0.500], [0.500, 0.500, 0.500], [0.875, 0.875, 0.875], [0.125, 0.125, 0.125]]
}

***

Entry 8:
{
  "formula": "Pm2TiCuO6",
  "functional": "PBE",
  "state": "relaxed",
  "crystal_system": "tetragonal",
  "formation_energy_uncorrected_ev_per_fu": -25.942,
  "dft_energy_ev_per_atom": -7.72,
  "lattice_angstrom": [[-3.554, -1.547, -1.559], [0.974, -4.781, 2.524], [-2.718, 1.783, 4.428]],
  "species": ["O", "O", "O", "O", "O", "O", "Pm", "Pm", "Ti", "Cu"],
  "frac_coords": [[0.702, 0.241, 0.241], [0.702, 0.759, 0.241], [0.702, 0.759, 0.759], [0.167, 0.000, 0.000], [0.702, 0.241, 0.759], [0.159, 0.500, 0.500], [0.036, 0.500, 0.000], [0.036, 0.000, 0.500], [0.605, 0.000, 0.000], [0.635, 0.500, 0.500]]
}

***

Entry 9:
{
  "formula": "CsNpBr4",
  "functional": "PBE",
  "state": "relaxed",
  "crystal_system": "orthorhombic",
  "formation_energy_uncorrected_ev_per_fu": -8.925,
  "dft_energy_ev_per_atom": -4.90,
  "polymorph_energy_mev_per_atom": 0,
  "lattice_angstrom": [[5.842, 0.000, 0.000], [0.000, 8.410, 0.000], [-2.921, 0.000, 11.133]],
  "species": ["Br", "Br", "Br", "Br", "Br", "Br", "Br", "Br", "Cs", "Cs", "Np", "Np"],
  "frac_coords": [[0.413, 0.250, 0.826], [0.819, 0.487, 0.638], [0.181, 0.513, 0.362], [0.181, 0.987, 0.362], [0.819, 0.013, 0.638], [0.000, 0.500, 0.000], [0.587, 0.750, 0.174], [0.000, 0.000, 0.000], [0.326, 0.750, 0.652], [0.674, 0.250, 0.348], [0.091, 0.750, 0.182], [0.909, 0.250, 0.818]]
}

***

| no. | magnetic moment (μB per atom) |
| --- | --- |
| 1 | 0.00 |
| 2 | 0.00 |
| 3 | 0.00 |
| 4 | 0.00 |
| 5 | 0.00 |
| 6 | 0.00 |
| 7 | 0.00 |
| 8 | 0.06 |
| 9 | 0.67 |